A plane-wave DFT calculation with PBE with a Hubbard U was carried out for CuAgMoF6 after structural relaxation.

Output
Total DFT energy (no corrections), eV/atom: -4.60
V, Å³/cell: 250
M_tot, Bohr magnetons per cell: 8.104
Density of states at the Fermi level, states/eV/atom: 0.59

Cell and atoms, written as CIF:
```
data_CuAgMoF6
_chemical_formula_sum 'Cu2 Ag2 Mo2 F12'
_cell_length_a 5.610
_cell_length_b 5.610
_cell_length_c 9.155
_cell_angle_alpha 90.00
_cell_angle_beta 90.00
_cell_angle_gamma 120.00
_space_group_name_H-M_alt 'P 1'
_space_group_IT_number 1
_space_group_name_Hall 'P 1'
loop_
_atom_site_label
_atom_site_fract_x
_atom_site_fract_y
_atom_site_fract_z
_atom_site_occupancy
Cu1 0.000 0.000 0.000 1
Cu2 0.000 0.000 0.500 1
Ag1 0.333 0.667 0.250 1
Ag2 0.667 0.333 0.750 1
Mo1 0.333 0.667 0.750 1
Mo2 0.667 0.333 0.250 1
F1 0.039 0.336 0.620 1
F2 0.039 0.703 0.880 1
F3 0.297 0.336 0.880 1
F4 0.297 0.961 0.620 1
F5 0.336 0.039 0.120 1
F6 0.336 0.297 0.380 1
F7 0.664 0.703 0.620 1
F8 0.664 0.961 0.880 1
F9 0.703 0.039 0.380 1
F10 0.703 0.664 0.120 1
F11 0.961 0.297 0.120 1
F12 0.961 0.664 0.380 1
```